FeN2ClF | Alexandria via LeMat-Bulk | GGA+U | optimized geometry; energy above the lowest structure with this stoichiometry = 1.84 eV per formula unit; Fermi-level density of states = 0.531 states/eV per atom
1.0
-2.5216 0.3303 2.4378
-0.1064 -3.5023 0.3645
3.4804 0.2651 3.5641
F N Cl Fe
1 2 1 1
Direct
0.0000 0.0000 0.5000
0.5000 0.0000 0.0000
0.0000 0.5000 0.0000
0.0000 0.0000 0.0000
0.5000 0.5000 0.5000